Material: TaCd2Se
Method: DFT, GGA-PBE
State: relaxed

The structure belongs to space group Cmmm (No. 65); the cell edges are 5.3301, 9.3135 and 3.3113 Å and the angles 90.00°, 90.00° and 90.00°. Symmetry generates all atoms from Ta at (0.0000, 0.0000, 0.0000), Cd at (0.2500, 0.2500, 0.5000) and Se at (0.0000, 0.5000, 0.0000).

The formation energy from raw total energies is 0.254 eV/atom. The value obtained for the total DFT energy (no corrections) is -4.038 eV per atom. For the density of states at the Fermi level, the calculation gives 0.603 states/eV per atom.

Material: Ta2CdSe
Method: DFT, GGA-PBE
State: relaxed

The structure belongs to space group Immm (No. 71); the cell edges are 3.2777, 4.9330 and 9.2452 Å and the angles 90.00°, 90.00° and 90.00°. Symmetry generates all atoms from Ta at (0.0000, 0.0000, 0.2304), Cd at (0.0000, 0.5000, 0.0000) and Se at (0.0000, 0.5000, 0.5000).

The formation energy from raw total energies is 0.259 eV/atom. The calculation puts the energy above the most stable polymorph in this dataset at 248 meV per atom. The value obtained for the total DFT energy (no corrections) is -6.767 eV per atom. For the density of states at the Fermi level, the calculation gives 0.490 states/eV per atom.

Material: Ta2CdSe
Method: DFT, GGA-PBE
State: relaxed

The structure belongs to space group P4/mmm (No. 123); the cell edges are 4.0737, 4.0737 and 4.6590 Å and the angles 90.00°, 90.00° and 90.00°. Symmetry generates all atoms from Ta at (0.0000, 0.5000, 0.0000), Cd at (0.0000, 0.0000, 0.5000) and Se at (0.5000, 0.5000, 0.5000).

The formation energy from raw total energies is 0.528 eV/atom. The calculation puts the energy above the most stable polymorph in this dataset at 517 meV per atom. The value obtained for the total DFT energy (no corrections) is -6.498 eV per atom. For the density of states at the Fermi level, the calculation gives 1.048 states/eV per atom.

Material: TaCd2Se
Method: DFT, GGA-PBE
State: relaxed

The structure belongs to space group P4/mmm (No. 123); the cell edges are 3.8893, 3.8893 and 5.3409 Å and the angles 90.00°, 90.00° and 90.00°. Symmetry generates all atoms from Ta at (0.0000, 0.0000, 0.0000), Cd at (0.0000, 0.5000, 0.5000) and Se at (0.5000, 0.5000, 0.0000).

The formation energy from raw total energies is 0.416 eV/atom. The value obtained for the total DFT energy (no corrections) is -3.876 eV per atom. For the density of states at the Fermi level, the calculation gives 0.668 states/eV per atom.

Material: Ta2CdSe
Method: DFT, GGA-PBE
State: relaxed

The structure belongs to space group Fm-3m (No. 225); the cell edges are 6.6174, 6.6174 and 6.6174 Å and the angles 90.00°, 90.00° and 90.00°. Symmetry generates all atoms from Ta at (0.2500, 0.2500, 0.2500), Cd at (0.0000, 0.0000, 0.0000) and Se at (0.0000, 0.0000, 0.5000).

The formation energy from raw total energies is 0.463 eV/atom. The calculation puts the energy above the most stable polymorph in this dataset at 452 meV per atom. The value obtained for the total DFT energy (no corrections) is -6.564 eV per atom. For the density of states at the Fermi level, the calculation gives 1.152 states/eV per atom.

Material: TaCd2Se
Method: DFT, GGA-PBE
State: relaxed

The structure belongs to space group F-43m (No. 216); the cell edges are 6.8362, 6.8362 and 6.8362 Å and the angles 90.00°, 90.00° and 90.00°. Symmetry generates all atoms from Ta at (0.0000, 0.0000, 0.0000), Cd at (0.0000, 0.0000, 0.5000), Cd at (0.2500, 0.2500, 0.7500) and Se at (0.2500, 0.2500, 0.2500).

The formation energy from raw total energies is 0.481 eV/atom. The value obtained for the total DFT energy (no corrections) is -3.811 eV per atom. For the density of states at the Fermi level, the calculation gives 0.512 states/eV per atom.

Material: TaCd2Se
Method: DFT, GGA-PBE
State: relaxed

The structure belongs to space group Imm2 (No. 44); the cell edges are 3.1076, 5.0054 and 12.2956 Å and the angles 90.00°, 90.00° and 90.00°. Symmetry generates all atoms from Ta at (0.0000, 0.0000, 0.0000), Cd at (0.0000, 0.0000, 0.5469), Cd at (0.0000, 0.5000, 0.7088) and Se at (0.0000, 0.5000, 0.3377).

The formation energy from raw total energies is 0.089 eV/atom. The value obtained for the total DFT energy (no corrections) is -4.203 eV per atom. For the density of states at the Fermi level, the calculation gives 0.568 states/eV per atom.

Material: Ta2Cd2Se
Method: DFT, GGA-PBE
State: relaxed

The structure belongs to space group I4/mmm (No. 139); the cell edges are 3.7225, 3.7225 and 16.3994 Å and the angles 90.00°, 90.00° and 90.00°. Symmetry generates all atoms from Ta at (0.0000, 0.5000, 0.2500), Cd at (0.0000, 0.0000, 0.0963) and Se at (0.0000, 0.0000, 0.5000).

The formation energy from raw total energies is 0.542 eV/atom. The calculation puts the energy above the most stable polymorph in this dataset at 0 meV per atom. The value obtained for the total DFT energy (no corrections) is -5.262 eV per atom. For the density of states at the Fermi level, the calculation gives 0.537 states/eV per atom.

Material: TaCd2Se
Method: DFT, GGA-PBE
State: relaxed

The structure belongs to space group R-3m (No. 166, hexagonal axes); the cell edges are 3.1898, 3.1898 and 28.0691 Å and the angles 90.00°, 90.00° and 120.00°. Symmetry generates all atoms from Ta at (0.0000, 0.0000, 0.0000), Cd at (0.0000, 0.0000, 0.2484) and Se at (0.0000, 0.0000, 0.5000).

The formation energy from raw total energies is 0.307 eV/atom. The value obtained for the total DFT energy (no corrections) is -3.984 eV per atom. For the density of states at the Fermi level, the calculation gives 0.779 states/eV per atom.

Material: Ta2CdSe
Method: DFT, GGA-PBE
State: relaxed

The structure belongs to space group I-42d (No. 122); the cell edges are 4.0261, 4.0261 and 19.9507 Å and the angles 90.00°, 90.00° and 90.00°. Symmetry generates all atoms from Ta at (0.2487, 0.2500, 0.1250), Cd at (0.0000, 0.0000, 0.0000) and Se at (0.0000, 0.0000, 0.5000).

The formation energy from raw total energies is 0.497 eV/atom. The calculation puts the energy above the most stable polymorph in this dataset at 486 meV per atom. The value obtained for the total DFT energy (no corrections) is -6.529 eV per atom. For the density of states at the Fermi level, the calculation gives 0.726 states/eV per atom.

Material: TaCd2Se
Method: DFT, GGA-PBE
State: relaxed

The structure belongs to space group R3m (No. 160, hexagonal axes); the cell edges are 3.2646, 3.2646 and 27.9367 Å and the angles 90.00°, 90.00° and 120.00°. Symmetry generates all atoms from Ta at (0.0000, 0.0000, 0.0000), Cd at (0.0000, 0.0000, 0.2489), Cd at (0.0000, 0.0000, 0.4924) and Se at (0.0000, 0.0000, 0.7287).

The formation energy from raw total energies is -0.114 eV/atom. The value obtained for the total DFT energy (no corrections) is -4.406 eV per atom. For the density of states at the Fermi level, the calculation gives 1.004 states/eV per atom.

Material: TaCd2Se
Method: DFT, GGA-PBE
State: relaxed

The structure belongs to space group I4/mmm (No. 139); the cell edges are 3.8922, 3.8922 and 10.5185 Å and the angles 90.00°, 90.00° and 90.00°. Symmetry generates all atoms from Ta at (0.0000, 0.0000, 0.0000), Cd at (0.0000, 0.5000, 0.2500) and Se at (0.0000, 0.0000, 0.5000).

The formation energy from raw total energies is 0.340 eV/atom. The value obtained for the total DFT energy (no corrections) is -3.952 eV per atom. For the density of states at the Fermi level, the calculation gives 0.804 states/eV per atom.

Material: TaCd2Se
Method: DFT, GGA-PBE
State: relaxed

The structure belongs to space group P2/m (No. 10); the cell edges are 2.9056, 5.7013 and 5.1068 Å and the angles 90.00°, 95.42° and 90.00°. Symmetry generates all atoms from Ta at (0.0000, 0.0000, 0.0000), Cd at (0.2644, 0.5000, 0.7531) and Se at (0.0000, 0.0000, 0.5000).

The formation energy from raw total energies is 0.308 eV/atom. The value obtained for the total DFT energy (no corrections) is -3.983 eV per atom. For the density of states at the Fermi level, the calculation gives 0.548 states/eV per atom.

Material: Tb3CdSe2
Method: DFT, GGA-PBE
State: relaxed

The structure belongs to space group Cmcm (No. 63); the cell edges are 5.0767, 12.7488 and 9.8183 Å and the angles 90.00°, 90.00° and 90.00°. Symmetry generates all atoms from Tb at (0.0000, 0.1181, 0.2500), Tb at (0.0000, 0.3644, 0.0490), Cd at (0.0000, 0.2198, 0.7500), Se at (0.0000, 0.0000, 0.0000) and Se at (0.0000, 0.4694, 0.7500).

The formation energy from raw total energies is -1.054 eV/atom. The value obtained for the total DFT energy (no corrections) is -4.683 eV per atom. For the density of states at the Fermi level, the calculation gives 0.981 states/eV per atom.

Material: Tb3CdSe6
Method: DFT, GGA-PBE
State: relaxed

The structure belongs to space group Cmc2_1 (No. 36); the cell edges are 11.2735, 13.4934 and 7.0770 Å and the angles 90.00°, 90.00° and 90.00°. Symmetry generates all atoms from Tb at (0.0000, 0.0977, 0.0000), Tb at (0.1800, 0.4025, 0.9026), Cd at (0.0000, 0.2926, 0.3806), Se at (0.0000, 0.2728, 0.7480), Se at (0.0000, 0.4689, 0.1959), Se at (0.1635, 0.0370, 0.7030) and Se at (0.1803, 0.2263, 0.1680).

The formation energy from raw total energies is -1.448 eV/atom. The value obtained for the total DFT energy (no corrections) is -5.019 eV per atom. For the density of states at the Fermi level, the calculation gives 0.582 states/eV per atom.

Material: Tb6CdSe5
Method: DFT, GGA-PBE
State: relaxed

The structure belongs to space group C2/m (No. 12); the cell edges are 7.1861, 12.4079 and 7.1543 Å and the angles 90.00°, 109.40° and 90.00°. Symmetry generates all atoms from Tb at (0.2447, 0.0000, 0.2511), Tb at (0.2464, 0.1698, 0.7475), Cd at (0.0000, 0.5000, 0.0000), Se at (0.0000, 0.0000, 0.5000), Se at (0.0000, 0.1662, 0.0000) and Se at (0.0000, 0.3340, 0.5000).

The formation energy from raw total energies is -1.510 eV/atom. The value obtained for the total DFT energy (no corrections) is -5.353 eV per atom. For the density of states at the Fermi level, the calculation gives 0.387 states/eV per atom.

Material: Tb4CdSe3
Method: DFT, GGA-PBE
State: relaxed

The structure belongs to space group Cmmm (No. 65); the cell edges are 8.4960, 11.7930 and 4.0664 Å and the angles 90.00°, 90.00° and 90.00°. Symmetry generates all atoms from Tb at (0.0000, 0.2472, 0.0000), Tb at (0.2418, 0.0000, 0.5000), Cd at (0.0000, 0.5000, 0.0000), Se at (0.0000, 0.0000, 0.0000) and Se at (0.2500, 0.2500, 0.5000).

The formation energy from raw total energies is -1.360 eV/atom. The value obtained for the total DFT energy (no corrections) is -5.096 eV per atom. For the density of states at the Fermi level, the calculation gives 0.416 states/eV per atom.

Material: Tb6CdSe4
Method: DFT, GGA-PBE
State: relaxed

The structure belongs to space group Cmcm (No. 63); the cell edges are 4.0914, 13.5159 and 20.8692 Å and the angles 90.00°, 90.00° and 90.00°. Symmetry generates all atoms from Tb at (0.0000, 0.0000, 0.0000), Tb at (0.0000, 0.1626, 0.2500), Tb at (0.0000, 0.2711, 0.5873), Tb at (0.0000, 0.4553, 0.1631), Cd at (0.0000, 0.1635, 0.7500), Se at (0.0000, 0.0907, 0.1229) and Se at (0.0000, 0.3615, 0.0392).

The formation energy from raw total energies is -1.352 eV/atom. The value obtained for the total DFT energy (no corrections) is -5.228 eV per atom. For the density of states at the Fermi level, the calculation gives 0.564 states/eV per atom.

Material: TbCdSe
Method: DFT, GGA-PBE
State: relaxed

The structure belongs to space group R-3m (No. 166, hexagonal axes); the cell edges are 4.8319, 4.8319 and 23.7035 Å and the angles 90.00°, 90.00° and 120.00°. Symmetry generates all atoms from Tb at (0.0000, 0.0000, 0.0855), Cd at (0.0000, 0.0000, 0.3355) and Se at (0.0000, 0.0000, 0.2129).

The formation energy from raw total energies is -1.027 eV/atom. The value obtained for the total DFT energy (no corrections) is -4.037 eV per atom. For the density of states at the Fermi level, the calculation gives 0.301 states/eV per atom.

Material: Tb4CdTe2Se
Method: DFT, GGA-PBE
State: relaxed

The structure belongs to space group P2/m (No. 10); the cell edges are 7.5308, 4.1853 and 7.5332 Å and the angles 90.00°, 108.11° and 90.00°. Symmetry generates all atoms from Tb at (0.2382, 0.0000, 0.2285), Tb at (0.2510, 0.5000, 0.7609), Cd at (0.5000, 0.0000, 0.0000), Te at (0.0000, 0.0000, 0.5000), Te at (0.5000, 0.5000, 0.5000) and Se at (0.0000, 0.5000, 0.0000).

The formation energy from raw total energies is -1.148 eV/atom. The value obtained for the total DFT energy (no corrections) is -4.799 eV per atom. For the density of states at the Fermi level, the calculation gives 0.434 states/eV per atom.